{"formula": "Nb2ZnInAg", "functional": "meta-GGA SCAN", "state": "single point on PBEsol structure", "m_tot_mub_per_fu": 0.001, "formation_energy_kj_per_mol_atoms": 117.1, "volume_a3_per_atom": 22.278, "dft_energy_ev_per_cell": -138.5, "spacegroup": "P4/mmm, No. 123", "mass_density_g_cm3": 7.1, "lattice_angstrom": [[4.946, 0.000, 0.000], [0.000, 4.946, 0.000], [0.000, 0.000, 4.553]], "species": ["Nb", "Nb", "Zn", "In", "Ag"], "fractional_positions": [[0.000, 0.500, 0.000], [0.500, 0.000, 0.000], [0.000, 0.000, 0.500], [0.500, 0.500, 0.500], [0.000, 0.000, 0.000]]}